[1]
# La3CePm8

A relaxed La3CePm8 crystal (PBE, Alexandria).

```
La3CePm8
1.0
-1.152 5.393 -6.462
7.789 -3.245 0.985
-3.906 -7.527 -0.504
Pm La Ce
8 3 1
Direct
0.000 0.639 0.880
0.474 0.216 0.216
0.759 0.120 0.120
0.000 0.784 0.258
0.526 0.742 0.742
0.000 0.880 0.639
0.000 0.258 0.784
0.241 0.361 0.361
0.500 0.250 0.750
0.500 0.750 0.250
0.000 0.500 0.500
0.000 0.000 0.000
```

DFT total energy ... -52.65 eV/cell
Formation enthalpy at 0 K ... 0.51 eV per atom
Density ... 6.3 g/cm³



[2]
# Ac6OsPt2Br2

A relaxed Ac6OsPt2Br2 crystal (PBE, Alexandria).

```
Ac6OsPt2Br2
1.0
-2.450 -7.241 -0.919
7.220 1.947 -1.833
0.760 0.029 8.335
Ac Br Pt Os
6 2 2 1
Direct
0.930 0.611 0.300
0.740 0.740 0.701
0.260 0.260 0.299
0.611 0.930 0.300
0.070 0.389 0.700
0.389 0.070 0.700
0.835 0.165 0.000
0.165 0.835 0.000
0.331 0.669 0.500
0.669 0.331 0.500
0.000 0.000 0.500
```

DFT total energy ... -62.24 eV/cell
Density ... 8.6 g/cm³
Uncorrected formation energy ... -0.994 eV per atom